Computed, not measured: a relaxed BIrO2 crystal at the GGA-PBE level of DFT.

Cell: 4.4673 4.4673 4.8001 Å, 62.27 62.27 90.00°
Closest atoms and distances in Å follow each position.
Positions (direct):
B (0.5000, 0.5000, 0.0000)  4 O 1.51
B (0.2500, 0.7500, 0.5000)  4 O 1.51
Ir (0.0000, 0.0000, 0.0000)  4 O 2.28
Ir (0.7500, 0.2500, 0.5000)  4 O 2.28
O (0.4774, 0.1250, 0.2500)  2 B 1.51
O (0.2726, 0.6250, 0.2500)  2 B 1.51
O (0.3750, 0.5226, 0.7500)  2 B 1.51
O (0.8750, 0.7274, 0.7500)  2 B 1.51

## Properties
Fermi-level density of states = 1.5 states/eV/f.u.
M_tot = 0.000 μB per atom
Uncorrected formation energy = -2.25 eV per formula unit
Symmetry = I-42d (122)
Volume = 72 Å³/cell

Computed, not measured: a relaxed TiZn4Cu2 crystal at the GGA-PBE level of DFT.

Cell: 2.7656 4.2685 8.6788 Å, 104.24 90.00 90.00°
Closest atoms and distances in Å follow each position.
Positions (direct):
Ti (0.0000, 0.0000, 0.0000)  2 Ti 2.77, 8 Cu 2.81, 4 Zn 2.87
Zn (0.5000, 0.8503, 0.7005)  2 Cu 2.51, 6 Zn 2.69-2.77
Zn (0.0000, 0.7022, 0.4045)  2 Cu 2.60, 10 Zn 2.67-2.85
Zn (0.5000, 0.1497, 0.2995)  2 Cu 2.51, 6 Zn 2.69-2.77
Zn (0.0000, 0.2978, 0.5955)  2 Cu 2.60, 10 Zn 2.67-2.85
Cu (0.5000, 0.5711, 0.1422)  1 Cu 2.39, 4 Zn 2.51-2.60
Cu (0.5000, 0.4289, 0.8578)  1 Cu 2.39, 4 Zn 2.51-2.60

## Properties
DFT formation energy = -0.065 eV per atom
Fermi-level density of states = 3.6 states/eV/f.u.
M_tot = 0.000 μB per atom
Symmetry = Cmmm (65)
Volume = 99 Å³/cell

Computed, not measured: a relaxed Tb5Pm3Sm3 crystal at the GGA-PBE level of DFT.

Cell: 5.5425 9.6912 9.6912 Å, 120.00 90.00 90.00°
Closest atoms and distances in Å follow each position.
Positions (direct):
Tb (0.5000, 0.3333, 0.6667)  3 Sm 3.08
Tb (0.5000, 0.6667, 0.3333)  3 Sm 3.08
Tb (0.5000, 0.2678, 0.2678)  2 Pm 3.17, 3 Sm 3.19-3.53
Tb (0.5000, 0.0000, 0.7322)  2 Pm 3.17, 3 Sm 3.19-3.53
Tb (0.5000, 0.7322, 0.0000)  2 Pm 3.17, 3 Sm 3.19-3.53
Pm (0.0000, 0.4271, 0.4271)  2 Tb 3.17, 2 Sm 3.41
Pm (0.0000, 0.5729, 0.0000)  2 Tb 3.17, 2 Sm 3.41
Pm (0.0000, 0.0000, 0.5729)  2 Tb 3.17, 2 Sm 3.41
Sm (0.5000, 0.6326, 0.6326)  4 Tb 3.08-3.19, 2 Pm 3.41
Sm (0.5000, 0.0000, 0.3674)  4 Tb 3.08-3.19, 2 Pm 3.41
Sm (0.5000, 0.3674, 0.0000)  4 Tb 3.08-3.19, 2 Pm 3.41

## Properties
DFT formation energy = 0.765 eV per atom
Fermi-level density of states = 20.1 states/eV/f.u.
M_tot = 0.000 μB per atom
Symmetry = P-62m (189)
Volume = 451 Å³/cell

Computed, not measured: a relaxed NdY5Mg6 crystal at the GGA-PBE level of DFT.

Cell: 5.3996 7.6146 8.5425 Å, 90.01 71.58 90.02°
Closest atoms and distances in Å follow each position.
Positions (direct):
Y (0.6654, 0.5000, 0.6693)  8 Mg 3.28-3.29
Y (0.3322, 0.0000, 0.3357)  8 Mg 3.28-3.33
Y (0.0000, 0.5000, 0.0000)  8 Mg 3.29-3.32
Y (0.6678, 0.0000, 0.6643)  8 Mg 3.28-3.33
Y (0.3346, 0.5000, 0.3307)  8 Mg 3.28-3.29
Mg (0.8319, 0.7478, 0.3363)  7 Y 3.28-3.32, 1 Nd 3.33
Mg (0.8318, 0.2522, 0.3363)  7 Y 3.28-3.32, 1 Nd 3.33
Mg (0.5000, 0.2523, 0.0000)  6 Y 3.28-3.33, 2 Nd 3.31
Mg (0.5000, 0.7477, 0.0000)  6 Y 3.28-3.33, 2 Nd 3.31
Mg (0.1682, 0.7478, 0.6637)  7 Y 3.28-3.32, 1 Nd 3.33
Mg (0.1681, 0.2522, 0.6637)  7 Y 3.28-3.32, 1 Nd 3.33
Nd (0.0000, 0.0000, 0.0000)  8 Mg 3.31-3.33

## Properties
DFT formation energy = -0.109 eV per atom
Fermi-level density of states = 16.4 states/eV/f.u.
M_tot = 0.000 μB per atom
Symmetry = Cmmm (65)
Volume = 333 Å³/cell

Computed, not measured: a relaxed HfFe3Os crystal at the GGA-PBE level of DFT.

Cell: 4.4137 4.4137 4.4137 Å, 90.00 90.00 90.00°
Closest atoms and distances in Å follow each position.
Positions (direct):
Hf (0.0000, 0.0000, 0.0000)  6 Fe 2.21
Os (0.5000, 0.5000, 0.5000)  12 Fe 3.12
Fe (0.0000, 0.5000, 0.0000)  2 Hf 2.21
Fe (0.0000, 0.0000, 0.5000)  2 Hf 2.21
Fe (0.5000, 0.0000, 0.0000)  2 Hf 2.21

## Properties
DFT formation energy = 1.946 eV per atom
Fermi-level density of states = 8.7 states/eV/f.u.
Relative energy among the computed polymorphs = 0.831 eV per atom
M_tot = 1.466 μB per atom
Symmetry = Pm-3m (221)
Volume = 86 Å³/cell

Computed, not measured: a relaxed Sb2IF2 crystal at the GGA-PBE level of DFT.

Cell: 4.4978 4.4978 6.3052 Å, 69.10 69.10 90.00°
Closest atoms and distances in Å follow each position.
Positions (direct):
I (0.0000, 0.0000, 0.0000)  8 F 3.47, 8 Sb 3.53
Sb (0.7500, 0.2500, 0.5000)  4 F 2.61
Sb (0.2500, 0.7500, 0.5000)  4 F 2.61
F (0.3719, 0.3719, 0.2562)  4 Sb 2.61, 1 F 2.79
F (0.6281, 0.6281, 0.7438)  4 Sb 2.61, 1 F 2.79

## Properties
Fermi-level density of states = 3.4 states/eV/f.u.
Relative energy among the computed polymorphs = 0.335 eV per atom
M_tot = 0.000 μB per atom
Uncorrected formation energy = -3.26 eV per formula unit
Symmetry = I4/mmm (139)
Volume = 110 Å³/cell

Computed, not measured: a relaxed Rb2DyAlO4 crystal at the GGA-PBE level of DFT.

Cell: 5.5448 6.8530 11.7369 Å, 84.52 76.34 66.14°
Closest atoms and distances in Å follow each position.
Positions (direct):
Rb (0.1853, 0.0000, 0.6294)  4 O 3.15-3.32
Rb (0.8147, 0.0000, 0.3706)  4 O 3.15-3.32
Rb (0.5647, 0.5000, 0.8706)  4 O 3.15-3.32
Rb (0.9353, 0.5000, 0.1294)  4 O 3.15-3.32
Dy (0.7500, 0.5000, 0.5000)  4 O 2.14
Dy (0.0000, 0.0000, 0.0000)  4 O 2.14
Al (0.2500, 0.5000, 0.5000)  4 O 1.81
Al (0.5000, 0.0000, 0.0000)  4 O 1.81
O (0.3378, 0.8292, 0.0784)  1 Al 1.81
O (0.2454, 0.1708, 0.9216)  1 Al 1.81
O (0.8330, 0.8292, 0.9216)  1 Al 1.81
O (0.5838, 0.1708, 0.0784)  1 Al 1.81
O (0.4122, 0.6708, 0.4216)  1 Al 1.81
O (0.5046, 0.3292, 0.5784)  1 Al 1.81
O (0.9170, 0.6708, 0.5784)  1 Al 1.81
O (0.1662, 0.3292, 0.4216)  1 Al 1.81

## Properties
Fermi-level density of states = 0.0 states/eV/f.u.
M_tot = 0.000 μB per atom
Uncorrected formation energy = -17.94 eV per formula unit
Symmetry = Fddd (70)
Volume = 396 Å³/cell

Computed, not measured: a relaxed Pr7Cd2Co2 crystal at the GGA-PBE level of DFT.

Cell: 3.7820 9.7187 9.7187 Å, 67.57 78.78 78.78°
Closest atoms and distances in Å follow each position.
Positions (direct):
Pr (0.8575, 0.0344, 0.2506)  2 Co 2.88
Pr (0.8435, 0.4469, 0.8660)  2 Co 3.00, 2 Cd 3.35
Pr (0.5000, 0.0985, 0.9015)  2 Co 2.98
Pr (0.6756, 0.4134, 0.2354)  2 Co 2.84
Pr (0.3244, 0.7646, 0.5866)  2 Co 2.84
Pr (0.1425, 0.7494, 0.9656)  2 Co 2.88
Pr (0.1565, 0.1340, 0.5531)  2 Co 3.00, 2 Cd 3.35
Cd (0.0000, 0.6421, 0.3579)  2 Cd 3.15, 6 Pr 3.39-3.51
Cd (0.5000, 0.4088, 0.5912)  2 Cd 3.15, 7 Pr 3.35-3.38
Co (0.6894, 0.8915, 0.7296)  7 Pr 2.84-3.00
Co (0.3106, 0.2704, 0.1085)  7 Pr 2.84-3.00

## Properties
DFT formation energy = -0.057 eV per atom
Fermi-level density of states = 13.7 states/eV/f.u.
Relative energy among the computed polymorphs = 0.003 eV per atom
M_tot = 0.000 μB per atom
Symmetry = Imm2 (44)
Volume = 321 Å³/cell

Computed, not measured: a relaxed SrNdH crystal at the GGA-PBE level of DFT.

Cell: 3.8470 3.8470 6.3029 Å, 90.00 90.00 120.00°
Closest atoms and distances in Å follow each position.
Positions (direct):
Sr (0.0000, 0.0000, 0.0825)  3 H 2.81
Nd (0.3333, 0.6667, 0.5627)  3 H 2.58
H (0.6667, 0.3333, 0.3548)  3 Nd 2.58, 3 Sr 2.81

## Properties
Fermi-level density of states = 3.3 states/eV/f.u.
M_tot = 0.172 μB per atom
Symmetry = P3m1 (156)
Energy = -3.373 eV/atom
Volume = 81 Å³/cell

Computed, not measured: a relaxed Mn2HgS2 crystal at the GGA-PBE level of DFT.

Cell: 3.5225 3.5225 9.2140 Å, 78.98 78.98 90.00°
Closest atoms and distances in Å follow each position.
Positions (direct):
S (0.3285, 0.3285, 0.3431)  4 Mn 2.24
S (0.6715, 0.6715, 0.6569)  4 Mn 2.24
Mn (0.7500, 0.2500, 0.5000)  4 S 2.24, 4 Mn 2.49
Mn (0.2500, 0.7500, 0.5000)  4 S 2.24, 4 Mn 2.49
Hg (0.0000, 0.0000, 0.0000)  4 Hg 3.52, 8 S 3.93

## Properties
Fermi-level density of states = 3.0 states/eV/f.u.
Relative energy among the computed polymorphs = 0.000 eV per atom
M_tot = 0.515 μB per atom
Uncorrected formation energy = -1.91 eV per formula unit
Symmetry = I4/mmm (139)
Volume = 110 Å³/cell

Computed, not measured: a relaxed NiIr9Os2 crystal at the GGA-PBE level of DFT.

Cell: 3.8470 3.8470 11.5762 Å, 90.00 90.00 90.00°
Closest atoms and distances in Å follow each position.
Positions (direct):
Ni (0.0000, 0.0000, 0.0000)  12 Ir 2.72
Ir (0.5000, 0.5000, 0.0000)  4 Ni 2.72, 8 Ir 2.72
Ir (0.5000, 0.5000, 0.3344)  8 Ir 2.72-2.74, 4 Os 2.72
Ir (0.5000, 0.5000, 0.6656)  8 Ir 2.72-2.74, 4 Os 2.72
Ir (0.5000, 0.0000, 0.1664)  2 Os 2.68, 8 Ir 2.72-2.74, 2 Ni 2.72
Ir (0.5000, 0.0000, 0.5000)  8 Ir 2.72, 4 Os 2.78
Ir (0.5000, 0.0000, 0.8336)  2 Os 2.68, 8 Ir 2.72-2.74, 2 Ni 2.72
Ir (0.0000, 0.5000, 0.1664)  2 Os 2.68, 8 Ir 2.72-2.74, 2 Ni 2.72
Ir (0.0000, 0.5000, 0.5000)  8 Ir 2.72, 4 Os 2.78
Ir (0.0000, 0.5000, 0.8336)  2 Os 2.68, 8 Ir 2.72-2.74, 2 Ni 2.72
Os (0.0000, 0.0000, 0.3271)  12 Ir 2.68-2.78
Os (0.0000, 0.0000, 0.6729)  12 Ir 2.68-2.78

## Properties
DFT formation energy = 0.006 eV per atom
Fermi-level density of states = 8.5 states/eV/f.u.
M_tot = 0.000 μB per atom
Symmetry = P4/mmm (123)
Volume = 171 Å³/cell

Computed, not measured: a relaxed Hf7Ga2H2 crystal at the GGA-PBE level of DFT.

Cell: 6.0503 5.8618 6.0503 Å, 90.02 113.75 89.98°
Closest atoms and distances in Å follow each position.
Positions (direct):
Hf (0.0001, 0.2462, 0.5000)  2 H 2.25
Hf (0.5000, 0.7538, 0.0001)  2 H 2.25
Hf (0.9999, 0.7538, 0.5000)  2 H 2.25
Hf (0.5000, 0.2462, 0.9999)  2 H 2.25
Hf (0.0000, 0.0000, 0.0000)  2 H 2.05
Hf (0.4999, 0.7622, 0.5001)  2 Ga 2.64, 1 Hf 2.79
Hf (0.5001, 0.2378, 0.4999)  2 Ga 2.64, 1 Hf 2.79
Ga (0.8243, 0.5000, 0.8243)  1 Ga 2.32
Ga (0.1757, 0.5000, 0.1757)  1 Ga 2.32
H (0.7978, 0.0000, 0.2022)  5 Hf 2.05-2.25
H (0.2022, 0.0000, 0.7978)  5 Hf 2.05-2.25

## Properties
Fermi-level density of states = 9.2 states/eV/f.u.
M_tot = 0.000 μB per atom
Symmetry = Cmmm (65)
Energy = -7.490 eV/atom
Volume = 196 Å³/cell